# AcTaNiO6 (PBE+U, relaxed)
# Theoretical density ... 7.33 g cm⁻³
# E ... -7.4514 eV per atom
data_AcTaNiO6
_chemical_formula_sum 'Ac2 Ta2 Ni2 O12'
_cell_length_a 5.024
_cell_length_b 5.024
_cell_length_c 10.103
_cell_angle_alpha 90.00
_cell_angle_beta 90.00
_cell_angle_gamma 90.00
_space_group_name_H-M_alt 'P 42 n m'
_space_group_IT_number 102
loop_
_space_group_symop_operation_xyz
'x,y,z'
'-y+1/2,x+1/2,z+1/2'
'-x,-y,z'
'y+1/2,-x+1/2,z+1/2'
'-x+1/2,y+1/2,z+1/2'
'y,x,z'
'x+1/2,-y+1/2,z+1/2'
'-y,-x,z'
loop_
_atom_site_label
_atom_site_type_symbol
_atom_site_fract_x
_atom_site_fract_y
_atom_site_fract_z
_atom_site_occupancy
Ac1 Ac 0.000 0.000 0.000 1
Ta1 Ta 0.000 0.000 0.658 1
Ni1 Ni 0.000 0.000 0.325 1
O1 O 0.165 0.165 0.493 1
O2 O 0.209 0.209 0.787 1
O3 O 0.223 0.223 0.188 1